# 1
This record from Alexandria describes B7C5 after structural relaxation. The functional is PBE.

## Properties
Energy of formation from the pure elements in eV/atom: 0.347
E in eV per atom: -7.39

Lattice parameters (Å, degrees): 7.798 2.723 7.757 90.00 109.51 90.00
Space group Cm (No. 8)
Symmetry-distinct sites (fractional):
B1 0.000 0.000 0.000 x2
B2 0.010 0.500 0.477 x2
B3 0.160 0.000 0.797 x2
B4 0.186 0.500 0.334 x2
B5 0.299 0.500 0.109 x2
B6 0.352 0.000 0.661 x2
B7 0.449 0.000 0.227 x2
C1 0.089 0.500 0.102 x2
C2 0.115 0.000 0.567 x2
C3 0.268 0.000 0.435 x2
C4 0.268 0.500 0.886 x2
C5 0.423 0.500 0.769 x2

=====

# 2
This record from Alexandria describes B7C5 after structural relaxation. The functional is PBE.

## Properties
Energy of formation from the pure elements in eV/atom: 0.465
E in eV per atom: -7.27

Lattice parameters (Å, degrees): 2.5343 2.5343 14.6680 90.00 90.00 120.00
Space group P3m1 (No. 156)
Symmetry-distinct sites (fractional):
B1 0.0000 0.0000 0.0000 x1
B2 0.0000 0.0000 0.1138 x1
B3 0.0000 0.0000 0.4829 x1
B4 0.0000 0.0000 0.5985 x1
B5 0.3333 0.6667 0.1867 x1
B6 0.3333 0.6667 0.6751 x1
B7 0.6667 0.3333 0.9271 x1
C1 0.3333 0.6667 0.2944 x1
C2 0.3333 0.6667 0.7828 x1
C3 0.6667 0.3333 0.3316 x1
C4 0.6667 0.3333 0.4337 x1
C5 0.6667 0.3333 0.8190 x1

=====

# 3
This record from Alexandria describes BC after structural relaxation. The functional is PBE.

## Properties
Energy of formation from the pure elements in eV/atom: 0.369
E in eV per atom: -7.58

Lattice parameters (Å, degrees): 2.410 2.549 13.013 90.00 90.00 90.00
Space group Pmm2 (No. 25)
Symmetry-distinct sites (fractional):
B1 0.000 0.000 0.000 x1
B2 0.000 0.000 0.303 x1
B3 0.000 0.000 0.635 x1
B4 0.000 0.500 0.735 x1
B5 0.500 0.000 0.531 x1
B6 0.500 0.000 0.894 x1
C1 0.000 0.500 0.077 x1
C2 0.000 0.500 0.384 x1
C3 0.500 0.000 0.214 x1
C4 0.500 0.500 0.148 x1
C5 0.500 0.500 0.449 x1
C6 0.500 0.500 0.821 x1

=====

# 4
This record from Alexandria describes B7C5 after structural relaxation. The functional is PBE.

## Properties
Energy of formation from the pure elements in eV/atom: 0.353
E in eV per atom: -7.39

Lattice parameters (Å, degrees): 9.018 2.714 7.592 90.00 114.39 90.00
Space group Cm (No. 8)
Symmetry-distinct sites (fractional):
B1 0.000 0.000 0.000 x2
B2 0.004 0.000 0.276 x2
B3 0.014 0.500 0.130 x2
B4 0.034 0.000 0.717 x2
B5 0.138 0.500 0.531 x2
B6 0.187 0.500 0.080 x2
B7 0.339 0.000 0.941 x2
C1 0.166 0.000 0.938 x2
C2 0.186 0.000 0.465 x2
C3 0.332 0.000 0.412 x2
C4 0.335 0.500 0.294 x2
C5 0.491 0.000 0.604 x2

=====

# 5
This record from Alexandria describes B7C5 after structural relaxation. The functional is PBE.

## Properties
Energy of formation from the pure elements in eV/atom: 0.312
E in eV per atom: -7.43

Lattice parameters (Å, degrees): 11.445 2.679 5.467 90.00 97.29 90.00
Space group Cm (No. 8)
Symmetry-distinct sites (fractional):
B1 0.000 0.000 0.000 x2
B2 0.000 0.000 0.372 x2
B3 0.128 0.500 0.211 x2
B4 0.254 0.000 0.276 x2
B5 0.299 0.000 0.998 x2
B6 0.358 0.500 0.487 x2
B7 0.373 0.500 0.155 x2
C1 0.059 0.500 0.932 x2
C2 0.065 0.500 0.462 x2
C3 0.138 0.500 0.720 x2
C4 0.218 0.000 0.747 x2
C5 0.304 0.000 0.558 x2

=====

# 6
This record from Alexandria describes B7C5 after structural relaxation. The functional is PBE.

## Properties
Energy of formation from the pure elements in eV/atom: 0.420
E in eV per atom: -7.32

Lattice parameters (Å, degrees): 2.495 7.208 4.491 90.00 90.00 90.00
Space group Pmm2 (No. 25)
Symmetry-distinct sites (fractional):
B1 0.000 0.000 0.000 x1
B2 0.000 0.143 0.325 x2
B3 0.000 0.336 0.048 x2
B4 0.500 0.346 0.761 x2
C1 0.000 0.500 0.312 x1
C2 0.500 0.000 0.765 x1
C3 0.500 0.162 0.555 x2
C4 0.500 0.500 0.490 x1

=====

# 7
This record from Alexandria describes BC after structural relaxation. The functional is PBE.

## Properties
Energy of formation from the pure elements in eV/atom: 0.409
E in eV per atom: -7.54

Lattice parameters (Å, degrees): 4.047 2.508 8.173 90.00 90.29 90.00
Space group P2_1/m (No. 11)
Symmetry-distinct sites (fractional):
B1 0.106 0.250 0.203 x2
B2 0.167 0.250 0.495 x2
B3 0.370 0.250 0.967 x2
C1 0.137 0.250 0.817 x2
C2 0.387 0.250 0.667 x2
C3 0.399 0.250 0.335 x2

=====

# 8
This record from Alexandria describes B7C5 after structural relaxation. The functional is PBE.

## Properties
Energy of formation from the pure elements in eV/atom: 0.407
E in eV per atom: -7.33

Lattice parameters (Å, degrees): 4.966 2.553 6.648 90.00 90.22 90.00
Space group Pm (No. 6)
Symmetry-distinct sites (fractional):
B1 0.000 0.000 0.000 x1
B2 0.063 0.500 0.431 x1
B3 0.159 0.500 0.691 x1
B4 0.230 0.000 0.293 x1
B5 0.679 0.000 0.450 x1
B6 0.762 0.500 0.099 x1
B7 0.921 0.000 0.729 x1
C1 0.317 0.000 0.072 x1
C2 0.462 0.500 0.998 x1
C3 0.465 0.500 0.761 x1
C4 0.607 0.000 0.684 x1
C5 0.762 0.500 0.339 x1

=====

# 9
This record from Alexandria describes B3C after structural relaxation. The functional is PBE.

## Properties
Energy of formation from the pure elements in eV/atom: 0.442
E in eV per atom: -6.87

Lattice parameters (Å, degrees): 3.381 14.468 3.370 90.00 94.71 90.00
Space group C2 (No. 5)
Symmetry-distinct sites (fractional):
B1 0.000 0.000 0.000 x2
B2 0.000 0.134 0.500 x2
B3 0.000 0.323 0.000 x2
B4 0.000 0.498 0.500 x2
B5 0.000 0.811 0.500 x2
B6 0.209 0.910 0.720 x4
B7 0.221 0.229 0.756 x4
C1 0.000 0.642 0.000 x2
C2 0.236 0.579 0.757 x4

=====

# 10
This record from Alexandria describes B3C2 after structural relaxation. The functional is PBE.

## Properties
Energy of formation from the pure elements in eV/atom: 0.336
E in eV per atom: -7.36

Lattice parameters (Å, degrees): 2.6752 2.6752 38.7461 90.00 90.00 120.00
Space group R3m (No. 160, hexagonal axes)
Symmetry-distinct sites (fractional):
B1 0.0000 0.0000 0.0000 x3
B2 0.0000 0.0000 0.0439 x3
B3 0.0000 0.0000 0.1636 x3
B4 0.0000 0.0000 0.2621 x3
B5 0.0000 0.0000 0.6395 x3
B6 0.0000 0.0000 0.7838 x3
C1 0.0000 0.0000 0.3961 x3
C2 0.0000 0.0000 0.4323 x3
C3 0.0000 0.0000 0.5988 x3
C4 0.0000 0.0000 0.8263 x3

=====

# 11
This record from Alexandria describes B3C after structural relaxation. The functional is PBE.

## Properties
Energy of formation from the pure elements in eV/atom: 0.399
E in eV per atom: -6.91

Lattice parameters (Å, degrees): 3.275 4.730 5.349 90.62 107.08 90.62
Space group P1 (No. 1)
Symmetry-distinct sites (fractional):
B1 0.000 0.000 0.000 x1
B2 0.020 0.758 0.477 x1
B3 0.174 0.262 0.807 x1
B4 0.237 0.449 0.360 x1
B5 0.350 0.945 0.760 x1
B6 0.389 0.761 0.267 x1
B7 0.527 0.483 0.060 x1
B8 0.585 0.217 0.596 x1
B9 0.844 0.543 0.683 x1
C1 0.702 0.721 0.898 x1
C2 0.706 0.028 0.369 x1
C3 0.865 0.225 0.195 x1

=====

# 12
This record from Alexandria describes B7C5 after structural relaxation. The functional is PBE.

## Properties
Energy of formation from the pure elements in eV/atom: 0.409
E in eV per atom: -7.33

Lattice parameters (Å, degrees): 2.6658 2.6658 15.2538 90.00 90.00 120.00
Space group P3m1 (No. 156)
Symmetry-distinct sites (fractional):
B1 0.0000 0.0000 0.0000 x1
B2 0.0000 0.0000 0.1139 x1
B3 0.0000 0.0000 0.5556 x1
B4 0.3333 0.6667 0.3796 x1
B5 0.3333 0.6667 0.8007 x1
B6 0.6667 0.3333 0.4903 x1
B7 0.6667 0.3333 0.9330 x1
C1 0.0000 0.0000 0.6592 x1
C2 0.3333 0.6667 0.1164 x1
C3 0.3333 0.6667 0.6884 x1
C4 0.6667 0.3333 0.3878 x1
C5 0.6667 0.3333 0.8336 x1